VASP calculation (GGA-PBE) on an optimized crystal structure of K2SrMoPt.

* calculated volume: 262.9 Å³ per cell
* energy of formation: 1359.5 meV/atom
* symmetry: P4/mmm (123)

Lattice parameters (Å, degrees): 7.042 7.042 5.300 90.00 90.00 90.00
Fractional coordinates of all 5 atoms:
K  0.000  0.500  0.000
K  0.500  0.000  0.000
Sr  0.000  0.000  0.000
Mo  0.500  0.500  0.500
Pt  0.000  0.000  0.500